Compound: Be2TeAs
Source: Alexandria via LeMat-Bulk
Functional: SCAN
Structure: single point on PBEsol structure

Cell lengths 3.528, 5.701, 6.859 Å; angles 90.00, 90.00, 90.00 degrees
Space group Cmmm (No. 65)
One atom of each set of equivalent atoms:
Be1 0.000 0.000 0.211 [4 per cell]
Te1 0.000 0.500 0.500 [2 per cell]
As1 0.000 0.500 0.000 [2 per cell]

ΔE to the lowest computed polymorph in meV/atom: 667
Crystal system: orthorhombic
ΔE_f (raw) in eV per formula unit: 2.059
D(E_F) in states/eV per atom: 0.42



Compound: Be2TeAs
Source: Alexandria via LeMat-Bulk
Functional: SCAN
Structure: single point on PBEsol structure

Cell lengths 5.763, 6.626, 3.363 Å; angles 90.00, 90.00, 90.00 degrees
Space group Cmmm (No. 65)
One atom of each set of equivalent atoms:
Be1 0.250 0.250 0.000 [4 per cell]
Te1 0.000 0.000 0.500 [2 per cell]
As1 0.000 0.500 0.500 [2 per cell]

ΔE to the lowest computed polymorph in meV/atom: 824
Crystal system: orthorhombic
ΔE_f (raw) in eV per formula unit: 2.685
D(E_F) in states/eV per atom: 0.41



Compound: Be2TeAs
Source: Alexandria via LeMat-Bulk
Functional: SCAN
Structure: single point on PBEsol structure

Cell lengths 6.843, 3.588, 6.723 Å; angles 90.00, 120.02, 90.00 degrees
Space group Cm (No. 8)
One atom of each set of equivalent atoms:
Be1 0.000 0.000 0.000 [2 per cell]
Be2 0.156 0.500 0.625 [2 per cell]
Te1 0.410 0.000 0.202 [2 per cell]
As1 0.386 0.000 0.716 [2 per cell]

ΔE to the lowest computed polymorph in meV/atom: 85
Crystal system: monoclinic
ΔE_f (raw) in eV per formula unit: -0.271
D(E_F) in states/eV per atom: 0.25



Compound: Be2TeAs
Source: Alexandria via LeMat-Bulk
Functional: SCAN
Structure: single point on PBEsol structure

Cell lengths 3.5654, 3.5654, 17.3564 Å; angles 90.00, 90.00, 120.00 degrees
Space group R-3m (No. 166, hexagonal axes)
One atom of each set of equivalent atoms:
Be1 0.0000 0.0000 0.2343 [6 per cell]
Te1 0.0000 0.0000 0.0000 [3 per cell]
As1 0.0000 0.0000 0.5000 [3 per cell]

ΔE to the lowest computed polymorph in meV/atom: 309
Crystal system: trigonal
ΔE_f (raw) in eV per formula unit: 0.627
D(E_F) in states/eV per atom: 0.25



Compound: Be2TeAs
Source: Alexandria via LeMat-Bulk
Functional: SCAN
Structure: single point on PBEsol structure

Cell lengths 5.294, 5.294, 10.949 Å; angles 90.00, 90.00, 90.00 degrees
Space group I-42d (No. 122)
One atom of each set of equivalent atoms:
Be1 0.218 0.250 0.125 [8 per cell]
Te1 0.000 0.000 0.500 [4 per cell]
As1 0.000 0.000 0.000 [4 per cell]

ΔE to the lowest computed polymorph in meV/atom: 0
Crystal system: tetragonal
ΔE_f (raw) in eV per formula unit: -0.611
D(E_F) in states/eV per atom: 0.46



Compound: BeTlAs
Source: Alexandria via LeMat-Bulk
Functional: SCAN
Structure: single point on PBEsol structure

Cell lengths 3.8130, 3.8130, 4.9629 Å; angles 90.00, 90.00, 120.00 degrees
Space group P-6m2 (No. 187)
One atom of each set of equivalent atoms:
Be1 0.0000 0.0000 0.0000 [1 per cell]
Tl1 0.3333 0.6667 0.5000 [1 per cell]
As1 0.6667 0.3333 0.0000 [1 per cell]

Crystal system: hexagonal
Energy relative to the elements in eV per atom: -0.0871
D(E_F) in states/eV per atom: 0.12



Compound: BeAsW2
Source: Alexandria via LeMat-Bulk
Functional: SCAN
Structure: single point on PBEsol structure

Cell lengths 8.480, 3.036, 4.500 Å; angles 90.00, 98.00, 90.00 degrees
Space group C2/m (No. 12)
One atom of each set of equivalent atoms:
Be1 0.000 0.000 0.000 [2 per cell]
As1 0.000 0.500 0.500 [2 per cell]
W1 0.247 0.500 0.236 [4 per cell]

ΔE to the lowest computed polymorph in meV/atom: 52
Crystal system: monoclinic
Energy relative to the elements in eV per atom: 0.3734
D(E_F) in states/eV per atom: 0.48



Compound: BeAsW2
Source: Alexandria via LeMat-Bulk
Functional: SCAN
Structure: single point on PBEsol structure

Cell lengths 3.961, 3.066, 8.883 Å; angles 90.00, 90.00, 90.00 degrees
Space group Amm2 (No. 38)
One atom of each set of equivalent atoms:
Be1 0.000 0.000 0.000 [2 per cell]
As1 0.500 0.000 0.154 [2 per cell]
W1 0.000 0.000 0.732 [2 per cell]
W2 0.500 0.000 0.431 [2 per cell]

ΔE to the lowest computed polymorph in meV/atom: 0
Crystal system: orthorhombic
Energy relative to the elements in eV per atom: 0.3213
D(E_F) in states/eV per atom: 0.72



Compound: BeAsW2
Source: Alexandria via LeMat-Bulk
Functional: SCAN
Structure: single point on PBEsol structure

Cell lengths 3.722, 3.722, 8.003 Å; angles 90.00, 90.00, 90.00 degrees
Space group I-4m2 (No. 119)
One atom of each set of equivalent atoms:
Be1 0.000 0.000 0.000 [2 per cell]
As1 0.000 0.500 0.750 [2 per cell]
W1 0.000 0.000 0.500 [2 per cell]
W2 0.000 0.500 0.250 [2 per cell]

ΔE to the lowest computed polymorph in meV/atom: 68
Crystal system: tetragonal
Energy relative to the elements in eV per atom: 0.3889
D(E_F) in states/eV per atom: 0.53



Compound: BeAsW
Source: Alexandria via LeMat-Bulk
Functional: SCAN
Structure: single point on PBEsol structure

Cell lengths 4.2978, 4.2978, 2.6367 Å; angles 90.00, 90.00, 120.00 degrees
Space group P3m1 (No. 156)
One atom of each set of equivalent atoms:
Be1 0.0000 0.0000 0.0000 [1 per cell]
As1 0.6667 0.3333 0.2773 [1 per cell]
W1 0.3333 0.6667 0.4322 [1 per cell]

Crystal system: trigonal
Energy relative to the elements in eV per atom: 0.4863
D(E_F) in states/eV per atom: 0.30



Compound: Y2BeAs
Source: Alexandria via LeMat-Bulk
Functional: SCAN
Structure: single point on PBEsol structure

Cell lengths 3.333, 3.333, 7.641 Å; angles 90.00, 90.00, 90.00 degrees
Space group P4mm (No. 99)
One atom of each set of equivalent atoms:
Y1 0.000 0.000 0.000 [1 per cell]
Y2 0.500 0.500 0.364 [1 per cell]
Be1 0.500 0.500 0.744 [1 per cell]
As1 0.000 0.000 0.626 [1 per cell]

ΔE to the lowest computed polymorph in meV/atom: 610
Crystal system: tetragonal
Energy relative to the elements in eV per atom: -0.2307
D(E_F) in states/eV per atom: 0.63



Compound: YBe2As
Source: Alexandria via LeMat-Bulk
Functional: SCAN
Structure: single point on PBEsol structure

Cell lengths 3.695, 4.051, 8.766 Å; angles 90.00, 90.00, 90.00 degrees
Space group Immm (No. 71)
One atom of each set of equivalent atoms:
Y1 0.000 0.000 0.000 [2 per cell]
Be1 0.000 0.500 0.236 [4 per cell]
As1 0.000 0.000 0.500 [2 per cell]

Crystal system: orthorhombic
Energy relative to the elements in eV per atom: 0.0411
D(E_F) in states/eV per atom: 0.61